Record 1
Computed, not measured: a relaxed structure of CePrNdLu at the PBE level of DFT.

Cell: 5.7428 5.7428 5.7428 Å, 60.00 60.00 60.00°
Sites, in units of the cell vectors:
Ce 0.0000 0.0000 0.0000
Pr 0.2500 0.2500 0.2500
Nd 0.7500 0.7500 0.7500
Lu 0.5000 0.5000 0.5000

Output
The calculation puts the magnetization at 3.01 μB per cell. For the density of states at the Fermi level, the calculation gives 11.06 states/eV/f.u. The formation enthalpy at 0 K comes out at 75.8 kJ/mol of formula units.

Record 2
Computed, not measured: a relaxed structure of Cd2SiHg at the PBE level of DFT.

Cell: 6.9216 6.9216 6.9216 Å, 155.89 137.04 49.87°
Sites, in units of the cell vectors:
Cd 0.0000 0.0000 0.0000
Cd 0.7267 0.2267 0.5000
Si 0.5257 0.5257 0.0000
Hg 0.3067 0.8067 0.5000

Output
The value obtained for the uncorrected formation energy is 25.54 kJ per mole of atoms. The calculation puts the magnetization at 0.00 μB per cell. For the density of states at the Fermi level, the calculation gives 1.18 states/eV/f.u.

Record 3
Computed, not measured: a relaxed structure of Ti4Al2Mo at the PBE level of DFT.

Cell: 5.8092 5.8092 4.7437 Å, 90.00 90.00 129.48°
Sites, in units of the cell vectors:
Ti 0.1447 0.8553 0.0000
Ti 0.3029 0.6971 0.5000
Ti 0.6971 0.3029 0.5000
Ti 0.8553 0.1447 0.0000
Al 0.3888 0.6112 0.0000
Al 0.6112 0.3888 0.0000
Mo 0.0000 0.0000 0.5000

Output
The calculation puts the magnetization at 0.00 μB per cell. For the density of states at the Fermi level, the calculation gives 6.57 states/eV/f.u. The formation enthalpy at 0 K comes out at 274.1 kJ/mol of formula units.

Record 4
Computed, not measured: a relaxed structure of TiSe2F at the PBE level of DFT.

Cell: 7.0345 7.0345 7.0345 Å, 131.18 131.18 71.53°
Sites, in units of the cell vectors:
Ti 0.0000 0.0000 0.0000
Ti 0.7500 0.2500 0.5000
Se 0.0967 0.6250 0.9717
Se 0.3750 0.3467 0.4717
Se 0.6533 0.1250 0.0283
Se 0.8750 0.9033 0.5283
F 0.2500 0.7500 0.5000
F 0.5000 0.5000 0.0000

Output
The value obtained for the uncorrected formation energy is -72.68 kJ per mole of atoms. The calculation puts the magnetization at 0.00 μB per cell. For the density of states at the Fermi level, the calculation gives 4.33 states/eV/f.u.